(1)
## Na2NdCuF8 (PBE)

Data for a geometry-optimized Na2NdCuF8 structure.

Computed properties:
**Calculated total energy**: -59.185 eV/f.u.
**M_tot**: 0.2 μB/f.u.
**Formation energy without anion corrections**: -2.73 eV per atom

Cell: 3.900 5.466 8.204 Å, 84.54 89.79 85.94°
Fractional positions:
Na 0.007 0.021 0.236
Na 0.993 0.979 0.764
Nd 0.500 0.500 0.500
Cu 0.500 0.500 0.000
F 0.009 0.283 0.438
F 0.145 0.723 0.022
F 0.443 0.353 0.202
F 0.473 0.178 0.698
F 0.527 0.822 0.302
F 0.557 0.647 0.798
F 0.855 0.277 0.978
F 0.991 0.717 0.562

(2)
## KMnSe2N (PBE)

Data for a geometry-optimized KMnSe2N structure.

Computed properties:
**Calculated total energy**: -26.289 eV/f.u.
**Energy above the lowest structure with this stoichiometry**: 0.00 kcal/mol of atoms
**M_tot**: 1.6 μB/f.u.
**Formation energy without anion corrections**: -0.15 eV per atom

Cell: 5.349 5.349 3.513 Å, 90.00 90.00 90.00°
Fractional positions:
K 0.000 0.000 0.000
Mn 0.500 0.500 0.500
Se 0.000 0.500 0.500
Se 0.500 0.000 0.500
N 0.500 0.500 0.000

(3)
## Tc2B2I (PBE)

Data for a geometry-optimized Tc2B2I structure.

Computed properties:
**Calculated total energy**: -32.110 eV/f.u.
**Energy above the lowest structure with this stoichiometry**: 5.14 kcal/mol of atoms
**M_tot**: 0.0 μB/f.u.
**Formation energy without anion corrections**: 0.71 eV per atom

Cell: 6.866 6.866 3.005 Å, 90.00 90.00 90.00°
Fractional positions:
Tc 0.143 0.357 0.000
Tc 0.357 0.857 0.000
Tc 0.643 0.143 0.000
Tc 0.857 0.643 0.000
B 0.094 0.594 0.500
B 0.406 0.094 0.500
B 0.594 0.906 0.500
B 0.906 0.406 0.500
I 0.000 0.000 0.000
I 0.500 0.500 0.000

(4)
## Ca3YHo2Se6 (PBE)

Data for a geometry-optimized Ca3YHo2Se6 structure.

Computed properties:
**Calculated total energy**: -64.970 eV/f.u.
**M_tot**: 0.0 μB/f.u.
**Formation energy without anion corrections**: -1.87 eV per atom

Cell: 7.102 7.102 7.223 Å, 99.46 99.46 119.94°
Fractional positions:
Ca 0.000 0.000 0.000
Ca 0.334 0.666 0.000
Ca 0.666 0.334 0.000
Y 0.500 0.500 0.500
Ho 0.167 0.833 0.500
Ho 0.833 0.167 0.500
Se 0.083 0.418 0.255
Se 0.246 0.246 0.745
Se 0.418 0.083 0.255
Se 0.582 0.917 0.745
Se 0.754 0.754 0.255
Se 0.917 0.582 0.745

(5)
## ReAsPS2 (PBE)

Data for a geometry-optimized ReAsPS2 structure.

Computed properties:
**Calculated total energy**: -27.519 eV/f.u.
**Energy above the lowest structure with this stoichiometry**: 0.00 kcal/mol of atoms
**M_tot**: 0.0 μB/f.u.
**Formation energy without anion corrections**: 0.65 eV per atom

Cell: 4.476 4.476 5.010 Å, 90.00 90.00 90.00°
Fractional positions:
Re 0.000 0.000 0.000
As 0.500 0.500 0.500
P 0.000 0.000 0.500
S 0.000 0.500 0.000
S 0.500 0.000 0.000

(6)
## BaAgP (PBE)

Data for a geometry-optimized BaAgP structure.

Computed properties:
**Calculated total energy**: -12.297 eV/f.u.
**M_tot**: 0.0 μB/f.u.
**ΔE_f**: -16.24 kcal/mol of atoms

Cell: 4.492 4.492 4.593 Å, 90.00 90.00 120.00°
Fractional positions:
Ba 0.000 0.000 0.000
Ag 0.333 0.667 0.500
P 0.667 0.333 0.500

(7)
## Pr3Tm12Mg (PBE)

Data for a geometry-optimized Pr3Tm12Mg structure.

Computed properties:
**Calculated total energy**: -69.086 eV/f.u.
**M_tot**: 0.0 μB/f.u.
**ΔE_f**: 0.73 kcal/mol of atoms

Cell: 4.980 4.980 19.875 Å, 90.00 90.00 90.00°
Fractional positions:
Pr 0.000 0.000 0.000
Pr 0.000 0.000 0.252
Pr 0.000 0.000 0.748
Tm 0.000 0.500 0.127
Tm 0.000 0.500 0.379
Tm 0.000 0.500 0.621
Tm 0.000 0.500 0.873
Tm 0.500 0.000 0.127
Tm 0.500 0.000 0.379
Tm 0.500 0.000 0.621
Tm 0.500 0.000 0.873
Tm 0.500 0.500 0.000
Tm 0.500 0.500 0.256
Tm 0.500 0.500 0.500
Tm 0.500 0.500 0.744
Mg 0.000 0.000 0.500

(8)
## KUInS4 (PBE)

Data for a geometry-optimized KUInS4 structure.

Computed properties:
**Calculated total energy**: -38.656 eV/f.u.
**M_tot**: 0.0 μB/f.u.
**Formation energy without anion corrections**: -1.00 eV per atom

Cell: 8.802 8.802 8.802 Å, 126.33 125.23 80.25°
Fractional positions:
K 0.390 0.140 0.250
K 0.610 0.860 0.750
U 0.000 0.500 0.500
U 0.500 0.500 0.000
In 0.000 0.000 0.500
In 0.000 0.500 0.000
S 0.193 0.682 0.511
S 0.231 0.269 0.538
S 0.231 0.693 0.962
S 0.328 0.318 0.011
S 0.672 0.682 0.989
S 0.769 0.307 0.038
S 0.769 0.731 0.462
S 0.807 0.318 0.489